Li10Ti11Cr9O40: relaxed, PBE+U.

Output
Volume   751.6 Å³ per cell
Crystal system   triclinic
ρ   3.8 g/cm3
Raw total energy   -7.841 eV/atom
Total moment   25.84 μB per cell

Unit cell a=5.9567 b=5.9649 c=24.5951 alpha=83.21 beta=89.97 gamma=60.24
Fractional coordinates of all 70 atoms:
Li (0.0279, 0.4455, 0.0746)
Li (0.1750, 0.1543, 0.5242)
Li (0.2216, 0.0528, 0.6743)
Li (0.3777, 0.7481, 0.1253)
Li (0.4288, 0.6419, 0.2763)
Li (0.5712, 0.3581, 0.7237)
Li (0.6223, 0.2519, 0.8747)
Li (0.7784, 0.9472, 0.3257)
Li (0.8250, 0.8457, 0.4758)
Li (0.9721, 0.5545, 0.9254)
Ti (0.0000, 0.0000, 0.0000)
Ti (0.0942, 0.8082, 0.8013)
Ti (0.0955, 0.2968, 0.3010)
Ti (0.3047, 0.3942, 0.4001)
Ti (0.4072, 0.1929, 0.2004)
Ti (0.5000, 0.0000, 0.0000)
Ti (0.5000, 0.5000, 0.5000)
Ti (0.5928, 0.8071, 0.7996)
Ti (0.6953, 0.6058, 0.5999)
Ti (0.9045, 0.7032, 0.6990)
Ti (0.9058, 0.1918, 0.1987)
Cr (0.0965, 0.3051, 0.7991)
Cr (0.1984, 0.6021, 0.5996)
Cr (0.2987, 0.9029, 0.9001)
Cr (0.3022, 0.8966, 0.4003)
Cr (0.5000, 0.5000, 0.0000)
Cr (0.6978, 0.1034, 0.5997)
Cr (0.7013, 0.0971, 0.0999)
Cr (0.8016, 0.3979, 0.4004)
Cr (0.9035, 0.6949, 0.2009)
O (0.0209, 0.9141, 0.1536)
O (0.0254, 0.4383, 0.6482)
O (0.0292, 0.8862, 0.6487)
O (0.0591, 0.3846, 0.1582)
O (0.1523, 0.2070, 0.4421)
O (0.1624, 0.7211, 0.9532)
O (0.1663, 0.1686, 0.9539)
O (0.1846, 0.6765, 0.4483)
O (0.2114, 0.5266, 0.7513)
O (0.2359, 0.0297, 0.2480)
O (0.2398, 0.4728, 0.2485)
O (0.2513, 0.9942, 0.7569)
O (0.3438, 0.8117, 0.0427)
O (0.3678, 0.3195, 0.5511)
O (0.3711, 0.7674, 0.5515)
O (0.3843, 0.2781, 0.0470)
O (0.4190, 0.1174, 0.3520)
O (0.4296, 0.6367, 0.8460)
O (0.4333, 0.0857, 0.8459)
O (0.4516, 0.5874, 0.3581)
O (0.5484, 0.4126, 0.6419)
O (0.5667, 0.9143, 0.1541)
O (0.5704, 0.3633, 0.1540)
O (0.5810, 0.8826, 0.6480)
O (0.6157, 0.7219, 0.9530)
O (0.6289, 0.2326, 0.4485)
O (0.6322, 0.6805, 0.4489)
O (0.6562, 0.1883, 0.9573)
O (0.7487, 0.0058, 0.2431)
O (0.7602, 0.5272, 0.7515)
O (0.7641, 0.9703, 0.7520)
O (0.7886, 0.4734, 0.2487)
O (0.8154, 0.3235, 0.5517)
O (0.8337, 0.8314, 0.0461)
O (0.8376, 0.2789, 0.0468)
O (0.8477, 0.7930, 0.5579)
O (0.9409, 0.6154, 0.8418)
O (0.9708, 0.1138, 0.3513)
O (0.9746, 0.5617, 0.3518)
O (0.9791, 0.0859, 0.8464)